[1]
5
Lattice="5.0646 0.0000 0.0000 0.0000 4.8153 0.0000 0.0000 0.0000 4.8153" Properties=species:S:1:pos:R:3 comment="PrHo2InN | Alexandria via LeMat-Bulk | GGA-PBE | relaxed" vol_a3_per_cell=117.4 space_group="P4/mmm (123)" formation_energy_uncorrected_ev_per_fu=-4.638 crystal_system=tetragonal pbc="T T T"
Ho 0.0000 0.0000 2.4077
Ho 0.0000 2.4077 0.0000
N 0.0000 0.0000 0.0000
In 2.5323 2.4077 2.4077
Pr 2.5323 0.0000 0.0000



[2]
8
Lattice="3.4534 0.0000 0.0000 0.0000 5.9265 0.0521 0.0000 -2.1210 5.5866" Properties=species:S:1:pos:R:3 comment="Ho2PuInN4 | Alexandria via LeMat-Bulk | GGA-PBE | relaxed" vol_a3_per_cell=114.7 space_group="P2/m (10)" formation_energy_uncorrected_ev_per_fu=-8.463 crystal_system=monoclinic pbc="T T T"
Ho 1.7267 -1.0605 2.7933
Ho 0.0000 1.9027 2.8193
N 1.7267 2.8543 4.2378
N 1.7267 0.9511 1.4009
N 0.0000 3.8543 1.4580
N 0.0000 -0.0488 4.1807
Pu 1.7267 2.9632 0.0260
In 0.0000 0.0000 0.0000



[3]
5
Lattice="-0.8204 -4.4984 -1.2510 -0.6303 -1.0910 4.3364 -4.4027 0.9168 -0.4092" Properties=species:S:1:pos:R:3 comment="HoSc2InN | Alexandria via LeMat-Bulk | GGA-PBE | relaxed" vol_a3_per_cell=96.7 space_group="P4/mmm (123)" formation_energy_uncorrected_ev_per_fu=-5.314 crystal_system=tetragonal pbc="T T T"
Sc -0.3151 -0.5455 2.1682
Sc -2.2014 0.4584 -0.2046
In -2.9267 -2.3363 1.3381
Ho -0.4102 -2.2492 -0.6255
N 0.0000 0.0000 0.0000



What did the first record say?
5
Lattice="5.0646 0.0000 0.0000 0.0000 4.8153 0.0000 0.0000 0.0000 4.8153" Properties=species:S:1:pos:R:3 comment="PrHo2InN | Alexandria via LeMat-Bulk | GGA-PBE | relaxed" vol_a3_per_cell=117.4 space_group="P4/mmm (123)" formation_energy_uncorrected_ev_per_fu=-4.638 crystal_system=tetragonal pbc="T T T"
Ho 0.0000 0.0000 2.4077
Ho 0.0000 2.4077 0.0000
N 0.0000 0.0000 0.0000
In 2.5323 2.4077 2.4077
Pr 2.5323 0.0000 0.0000